*one*
# GGA-PBE CsK, relaxed
# Fermi-level density of states: 1.969 states/eV/f.u.
# total magnetization: 0.00 Bohr magnetons per cell
data_CsK
_cell_length_a 13.598
_cell_length_b 13.598
_cell_length_c 7.714
_cell_angle_alpha 90.00
_cell_angle_beta 90.00
_cell_angle_gamma 120.00
_symmetry_space_group_name_H-M 'P 1'
_symmetry_Int_Tables_number 1
loop_
_symmetry_equiv_pos_as_xyz
'x,y,z'
loop_
_atom_site_label
_atom_site_type_symbol
_atom_site_fract_x
_atom_site_fract_y
_atom_site_fract_z
Cs1 Cs 0.098 0.463 0.250
Cs2 Cs 0.365 0.902 0.250
Cs3 Cs 0.463 0.365 0.750
Cs4 Cs 0.537 0.635 0.250
Cs5 Cs 0.635 0.098 0.750
Cs6 Cs 0.902 0.537 0.750
K1 K 0.050 0.218 0.750
K2 K 0.168 0.950 0.750
K3 K 0.218 0.168 0.250
K4 K 0.782 0.832 0.750
K5 K 0.832 0.050 0.250
K6 K 0.950 0.782 0.250

*two*
# GGA-PBE CsK, relaxed
# Fermi-level density of states: 2.071 states/eV/f.u.
# total magnetization: 0.00 Bohr magnetons per cell
data_CsK
_cell_length_a 9.403
_cell_length_b 9.403
_cell_length_c 8.272
_cell_angle_alpha 112.92
_cell_angle_beta 112.92
_cell_angle_gamma 33.48
_symmetry_space_group_name_H-M 'P 1'
_symmetry_Int_Tables_number 1
loop_
_symmetry_equiv_pos_as_xyz
'x,y,z'
loop_
_atom_site_label
_atom_site_type_symbol
_atom_site_fract_x
_atom_site_fract_y
_atom_site_fract_z
Cs1 Cs 0.112 0.112 0.336
Cs2 Cs 0.888 0.888 0.664
K1 K 0.358 0.358 0.142
K2 K 0.642 0.642 0.858

*three*
# GGA-PBE CsK, relaxed
# Fermi-level density of states: 1.866 states/eV/f.u.
# total magnetization: 0.00 Bohr magnetons per cell
data_CsK
_cell_length_a 13.183
_cell_length_b 13.183
_cell_length_c 13.183
_cell_angle_alpha 90.00
_cell_angle_beta 90.00
_cell_angle_gamma 90.00
_symmetry_space_group_name_H-M 'P 1'
_symmetry_Int_Tables_number 1
loop_
_symmetry_equiv_pos_as_xyz
'x,y,z'
loop_
_atom_site_label
_atom_site_type_symbol
_atom_site_fract_x
_atom_site_fract_y
_atom_site_fract_z
Cs1 Cs 0.000 0.250 0.500
Cs2 Cs 0.000 0.750 0.500
Cs3 Cs 0.250 0.500 0.000
Cs4 Cs 0.500 0.000 0.250
Cs5 Cs 0.500 0.000 0.750
Cs6 Cs 0.750 0.500 0.000
K1 K 0.000 0.500 0.250
K2 K 0.000 0.500 0.750
K3 K 0.250 0.000 0.500
K4 K 0.500 0.250 0.000
K5 K 0.500 0.750 0.000
K6 K 0.750 0.000 0.500

*four*
# GGA-PBE CsK, relaxed
# Fermi-level density of states: 1.938 states/eV/f.u.
# total magnetization: 0.00 Bohr magnetons per cell
data_CsK
_cell_length_a 12.836
_cell_length_b 12.836
_cell_length_c 12.836
_cell_angle_alpha 92.06
_cell_angle_beta 92.06
_cell_angle_gamma 158.13
_symmetry_space_group_name_H-M 'P 1'
_symmetry_Int_Tables_number 1
loop_
_symmetry_equiv_pos_as_xyz
'x,y,z'
loop_
_atom_site_label
_atom_site_type_symbol
_atom_site_fract_x
_atom_site_fract_y
_atom_site_fract_z
Cs1 Cs 0.118 0.829 0.947
Cs2 Cs 0.171 0.118 0.290
Cs3 Cs 0.829 0.882 0.710
Cs4 Cs 0.882 0.171 0.053
K1 K 0.078 0.368 0.446
K2 K 0.368 0.922 0.290
K3 K 0.632 0.078 0.710
K4 K 0.922 0.632 0.554

From most stable to least stable, the computed energies give *two*, *four*, *one*, *three*.

*one*
# GGA-PBE CsK2, relaxed
# Fermi-level density of states: 1.854 states/eV/f.u.
# total magnetization: 0.00 Bohr magnetons per cell
data_CsK2
_cell_length_a 9.012
_cell_length_b 9.012
_cell_length_c 9.012
_cell_angle_alpha 60.00
_cell_angle_beta 60.00
_cell_angle_gamma 60.00
_symmetry_space_group_name_H-M 'P 1'
_symmetry_Int_Tables_number 1
loop_
_symmetry_equiv_pos_as_xyz
'x,y,z'
loop_
_atom_site_label
_atom_site_type_symbol
_atom_site_fract_x
_atom_site_fract_y
_atom_site_fract_z
Cs1 Cs 0.125 0.125 0.125
Cs2 Cs 0.875 0.875 0.875
K1 K 0.000 0.500 0.500
K2 K 0.500 0.000 0.500
K3 K 0.500 0.500 0.000
K4 K 0.500 0.500 0.500

*two*
# GGA-PBE CsK2, relaxed
# Fermi-level density of states: 2.993 states/eV/f.u.
# total magnetization: 0.00 Bohr magnetons per cell
data_CsK2
_cell_length_a 9.201
_cell_length_b 9.201
_cell_length_c 9.201
_cell_angle_alpha 129.75
_cell_angle_beta 116.02
_cell_angle_gamma 85.53
_symmetry_space_group_name_H-M 'P 1'
_symmetry_Int_Tables_number 1
loop_
_symmetry_equiv_pos_as_xyz
'x,y,z'
loop_
_atom_site_label
_atom_site_type_symbol
_atom_site_fract_x
_atom_site_fract_y
_atom_site_fract_z
Cs1 Cs 0.251 0.001 0.250
Cs2 Cs 0.749 0.999 0.750
K1 K 0.166 0.667 0.499
K2 K 0.332 0.333 0.999
K3 K 0.668 0.667 0.001
K4 K 0.834 0.333 0.501

*three*
# GGA-PBE CsK2, relaxed
# Fermi-level density of states: 2.380 states/eV/f.u.
# total magnetization: 0.00 Bohr magnetons per cell
data_CsK2
_cell_length_a 9.604
_cell_length_b 9.604
_cell_length_c 9.604
_cell_angle_alpha 147.43
_cell_angle_beta 147.43
_cell_angle_gamma 46.73
_symmetry_space_group_name_H-M 'P 1'
_symmetry_Int_Tables_number 1
loop_
_symmetry_equiv_pos_as_xyz
'x,y,z'
loop_
_atom_site_label
_atom_site_type_symbol
_atom_site_fract_x
_atom_site_fract_y
_atom_site_fract_z
Cs1 Cs 0.000 0.000 0.000
K1 K 0.318 0.318 0.000
K2 K 0.682 0.682 0.000

From most stable to least stable, the computed energies give *one*, *three*, *two*.

*one*
# GGA-PBE Cs2K5, relaxed
# Fermi-level density of states: 5.707 states/eV/f.u.
# total magnetization: 0.00 Bohr magnetons per cell
data_Cs2K5
_cell_length_a 21.282
_cell_length_b 21.282
_cell_length_c 21.282
_cell_angle_alpha 165.73
_cell_angle_beta 165.73
_cell_angle_gamma 20.23
_symmetry_space_group_name_H-M 'P 1'
_symmetry_Int_Tables_number 1
loop_
_symmetry_equiv_pos_as_xyz
'x,y,z'
loop_
_atom_site_label
_atom_site_type_symbol
_atom_site_fract_x
_atom_site_fract_y
_atom_site_fract_z
Cs1 Cs 0.202 0.202 0.000
Cs2 Cs 0.798 0.798 0.000
K1 K 0.063 0.063 0.000
K2 K 0.376 0.376 0.000
K3 K 0.500 0.500 0.000
K4 K 0.624 0.624 0.000
K5 K 0.937 0.937 0.000

*two*
# GGA-PBE Cs2K5, relaxed
# Fermi-level density of states: 7.148 states/eV/f.u.
# total magnetization: 0.00 Bohr magnetons per cell
data_Cs2K5
_cell_length_a 12.027
_cell_length_b 12.027
_cell_length_c 12.027
_cell_angle_alpha 37.45
_cell_angle_beta 37.45
_cell_angle_gamma 37.45
_symmetry_space_group_name_H-M 'P 1'
_symmetry_Int_Tables_number 1
loop_
_symmetry_equiv_pos_as_xyz
'x,y,z'
loop_
_atom_site_label
_atom_site_type_symbol
_atom_site_fract_x
_atom_site_fract_y
_atom_site_fract_z
Cs1 Cs 0.140 0.140 0.140
Cs2 Cs 0.860 0.860 0.860
K1 K 0.000 0.000 0.000
K2 K 0.290 0.290 0.290
K3 K 0.424 0.424 0.424
K4 K 0.576 0.576 0.576
K5 K 0.710 0.710 0.710

From most stable to least stable, the computed energies give *one*, *two*.

*one*
# GGA-PBE Cs2K3, relaxed
# Fermi-level density of states: 4.479 states/eV/f.u.
# total magnetization: 0.00 Bohr magnetons per cell
data_Cs2K3
_cell_length_a 9.731
_cell_length_b 9.731
_cell_length_c 9.731
_cell_angle_alpha 87.46
_cell_angle_beta 87.46
_cell_angle_gamma 87.46
_symmetry_space_group_name_H-M 'P 1'
_symmetry_Int_Tables_number 1
loop_
_symmetry_equiv_pos_as_xyz
'x,y,z'
loop_
_atom_site_label
_atom_site_type_symbol
_atom_site_fract_x
_atom_site_fract_y
_atom_site_fract_z
Cs1 Cs 0.124 0.124 0.124
Cs2 Cs 0.376 0.376 0.376
Cs3 Cs 0.624 0.624 0.624
Cs4 Cs 0.876 0.876 0.876
K1 K 0.076 0.750 0.424
K2 K 0.250 0.576 0.924
K3 K 0.424 0.076 0.750
K4 K 0.576 0.924 0.250
K5 K 0.750 0.424 0.076
K6 K 0.924 0.250 0.576

*two*
# GGA-PBE Cs2K3, relaxed
# Fermi-level density of states: 4.356 states/eV/f.u.
# total magnetization: 0.00 Bohr magnetons per cell
data_Cs2K3
_cell_length_a 12.700
_cell_length_b 9.326
_cell_length_c 14.331
_cell_angle_alpha 60.64
_cell_angle_beta 39.79
_cell_angle_gamma 79.57
_symmetry_space_group_name_H-M 'P 1'
_symmetry_Int_Tables_number 1
loop_
_symmetry_equiv_pos_as_xyz
'x,y,z'
loop_
_atom_site_label
_atom_site_type_symbol
_atom_site_fract_x
_atom_site_fract_y
_atom_site_fract_z
Cs1 Cs 0.249 0.751 0.356
Cs2 Cs 0.606 0.894 0.499
Cs3 Cs 0.751 0.249 0.644
Cs4 Cs 0.894 0.606 0.001
K1 K 0.143 0.814 0.071
K2 K 0.179 0.278 0.107
K3 K 0.278 0.179 0.436
K4 K 0.373 0.373 0.627
K5 K 0.623 0.623 0.877
K6 K 0.814 0.143 0.972

From most stable to least stable, the computed energies give *two*, *one*.

*one*
# GGA-PBE CsKLa2, relaxed
# Fermi-level density of states: 5.633 states/eV/f.u.
# total magnetization: 0.00 Bohr magnetons per cell
data_CsKLa2
_cell_length_a 6.486
_cell_length_b 6.486
_cell_length_c 6.486
_cell_angle_alpha 60.00
_cell_angle_beta 60.00
_cell_angle_gamma 60.00
_symmetry_space_group_name_H-M 'P 1'
_symmetry_Int_Tables_number 1
loop_
_symmetry_equiv_pos_as_xyz
'x,y,z'
loop_
_atom_site_label
_atom_site_type_symbol
_atom_site_fract_x
_atom_site_fract_y
_atom_site_fract_z
Cs1 Cs 0.000 0.000 0.000
K1 K 0.500 0.500 0.500
La1 La 0.250 0.250 0.250
La2 La 0.750 0.750 0.750

*two*
# GGA-PBE CsKLa2, relaxed
# Fermi-level density of states: 4.950 states/eV/f.u.
# total magnetization: 0.00 Bohr magnetons per cell
data_CsKLa2
_cell_length_a 15.632
_cell_length_b 15.632
_cell_length_c 15.632
_cell_angle_alpha 161.14
_cell_angle_beta 161.14
_cell_angle_gamma 26.80
_symmetry_space_group_name_H-M 'P 1'
_symmetry_Int_Tables_number 1
loop_
_symmetry_equiv_pos_as_xyz
'x,y,z'
loop_
_atom_site_label
_atom_site_type_symbol
_atom_site_fract_x
_atom_site_fract_y
_atom_site_fract_z
Cs1 Cs 0.000 0.000 0.000
Cs2 Cs 0.750 0.250 0.500
K1 K 0.250 0.750 0.500
K2 K 0.500 0.500 0.000
La1 La 0.131 0.625 0.006
La2 La 0.375 0.381 0.506
La3 La 0.619 0.125 0.994
La4 La 0.875 0.869 0.494

From most stable to least stable, the computed energies give *two*, *one*.

*one*
# GGA-PBE CsK2Li2, relaxed
# Fermi-level density of states: 3.963 states/eV/f.u.
# total magnetization: 0.00 Bohr magnetons per cell
data_CsK2Li2
_cell_length_a 11.413
_cell_length_b 11.413
_cell_length_c 4.244
_cell_angle_alpha 90.00
_cell_angle_beta 90.00
_cell_angle_gamma 90.00
_symmetry_space_group_name_H-M 'P 1'
_symmetry_Int_Tables_number 1
loop_
_symmetry_equiv_pos_as_xyz
'x,y,z'
loop_
_atom_site_label
_atom_site_type_symbol
_atom_site_fract_x
_atom_site_fract_y
_atom_site_fract_z
Cs1 Cs 0.000 0.000 0.000
Cs2 Cs 0.500 0.500 0.000
K1 K 0.130 0.370 0.000
K2 K 0.370 0.870 0.000
K3 K 0.630 0.130 0.000
K4 K 0.870 0.630 0.000
Li1 Li 0.165 0.665 0.500
Li2 Li 0.335 0.165 0.500
Li3 Li 0.665 0.835 0.500
Li4 Li 0.835 0.335 0.500

*two*
# GGA-PBE CsK2Li2, relaxed
# Fermi-level density of states: 3.972 states/eV/f.u.
# total magnetization: 0.00 Bohr magnetons per cell
data_CsK2Li2
_cell_length_a 10.693
_cell_length_b 10.693
_cell_length_c 4.939
_cell_angle_alpha 90.00
_cell_angle_beta 90.00
_cell_angle_gamma 90.00
_symmetry_space_group_name_H-M 'P 1'
_symmetry_Int_Tables_number 1
loop_
_symmetry_equiv_pos_as_xyz
'x,y,z'
loop_
_atom_site_label
_atom_site_type_symbol
_atom_site_fract_x
_atom_site_fract_y
_atom_site_fract_z
Cs1 Cs 0.000 0.000 0.000
Cs2 Cs 0.500 0.500 0.000
K1 K 0.168 0.332 0.500
K2 K 0.332 0.832 0.500
K3 K 0.668 0.168 0.500
K4 K 0.832 0.668 0.500
Li1 Li 0.107 0.607 0.000
Li2 Li 0.393 0.107 0.000
Li3 Li 0.607 0.893 0.000
Li4 Li 0.893 0.393 0.000

From most stable to least stable, the computed energies give *two*, *one*.